Model 1:
Density functional theory data (PBE-GGA) for a relaxed Al2Tl2I crystal.

The space group is I4/mmm (No. 139) and the conventional cell measures 4.719, 4.719 and 12.969 Å, with angles of 90.00, 90.00 and 90.00 degrees. Symmetry generates all atoms from Al at (0.000, 0.000, 0.101), Tl at (0.000, 0.500, 0.250) and I at (0.000, 0.000, 0.500).

Model 2:
Density functional theory data (PBE-GGA) for a relaxed Al2Tl2I crystal.

The space group is I4/mmm (No. 139) and the conventional cell measures 3.922, 3.922 and 19.208 Å, with angles of 90.00, 90.00 and 90.00 degrees. Symmetry generates all atoms from Al at (0.000, 0.500, 0.250), Tl at (0.000, 0.000, 0.113) and I at (0.000, 0.000, 0.500).

Model 3:
Density functional theory data (PBE-GGA) for a relaxed Al2Tl2I crystal.

The space group is P4/mbm (No. 127) and the conventional cell measures 8.510, 8.510 and 3.870 Å, with angles of 90.00, 90.00 and 90.00 degrees. Symmetry generates all atoms from Al at (0.113, 0.387, 0.000), Tl at (0.189, 0.689, 0.500) and I at (0.000, 0.000, 0.000).

Which structure is the most stable? The one labeled model 2.

Model 1:
Density functional theory data (PBE-GGA) for a relaxed AlTlI2 crystal.

The space group is Fm-3m (No. 225) and the conventional cell measures 8.327, 8.327 and 8.327 Å, with angles of 90.00, 90.00 and 90.00 degrees. Symmetry generates all atoms from Al at (0.000, 0.000, 0.000), Tl at (0.000, 0.000, 0.500) and I at (0.250, 0.250, 0.250).

Model 2:
Density functional theory data (PBE-GGA) for a relaxed AlTlI2 crystal.

The space group is I-42d (No. 122) and the conventional cell measures 7.341, 7.341 and 16.693 Å, with angles of 90.00, 90.00 and 90.00 degrees. Symmetry generates all atoms from Al at (0.000, 0.000, 0.000), Tl at (0.000, 0.000, 0.500) and I at (0.221, 0.250, 0.125).

Which structure is the most stable? The one labeled model 1.

Model 1:
Density functional theory data (PBE-GGA) for a relaxed Al2TlI crystal.

The space group is I-42d (No. 122) and the conventional cell measures 6.496, 6.496 and 13.482 Å, with angles of 90.00, 90.00 and 90.00 degrees. Symmetry generates all atoms from Al at (0.199, 0.250, 0.125), Tl at (0.000, 0.000, 0.000) and I at (0.000, 0.000, 0.500).

Model 2:
Density functional theory data (PBE-GGA) for a relaxed Al2TlI crystal.

The space group is Fm-3m (No. 225) and the conventional cell measures 7.541, 7.541 and 7.541 Å, with angles of 90.00, 90.00 and 90.00 degrees. Symmetry generates all atoms from Al at (0.250, 0.250, 0.250), Tl at (0.000, 0.000, 0.000) and I at (0.000, 0.000, 0.500).

Which structure is the most stable? The one labeled model 1.

Model 1:
Density functional theory data (PBE-GGA) for a relaxed AlTlI3 crystal.

The space group is Pm-3m (No. 221) and the conventional cell measures 5.773, 5.773 and 5.773 Å, with angles of 90.00, 90.00 and 90.00 degrees. Symmetry generates all atoms from Al at (0.000, 0.000, 0.000), Tl at (0.500, 0.500, 0.500) and I at (0.000, 0.000, 0.500).

Model 2:
Density functional theory data (PBE-GGA) for a relaxed AlTlI3 crystal.

The space group is P-1 (No. 2) and the conventional cell measures 7.127, 8.812 and 9.614 Å, with angles of 114.39, 108.28 and 96.79 degrees. Symmetry generates all atoms from Al at (0.045, 0.365, 0.000), Tl at (0.325, 0.825, 0.650), I at (0.097, 0.180, 0.730), I at (0.253, 0.847, 0.000) and I at (0.365, 0.449, 0.271).

Which structure is the most stable? The one labeled model 2.

Model 1:
Density functional theory data (PBE-GGA) for a relaxed AlTl2I5 crystal.

The space group is I4mm (No. 107) and the conventional cell measures 8.234, 8.234 and 11.691 Å, with angles of 90.00, 90.00 and 90.00 degrees. Symmetry generates all atoms from Al at (0.000, 0.000, 0.000), Tl at (0.000, 0.500, 0.288), I at (0.000, 0.000, 0.221) and I at (0.230, 0.230, 0.950).

Model 2:
Density functional theory data (PBE-GGA) for a relaxed AlTl2I5 crystal.

The space group is P2_1/c (No. 14) and the conventional cell measures 14.584, 10.141 and 11.341 Å, with angles of 90.00, 106.94 and 90.00 degrees. Symmetry generates all atoms from Al at (0.204, 0.082, 0.009), Tl at (0.166, 0.655, 0.029), Tl at (0.461, 0.607, 0.797), I at (0.107, 0.206, 0.498), I at (0.120, 0.568, 0.326), I at (0.204, 0.549, 0.705), I at (0.377, 0.128, 0.015) and I at (0.397, 0.653, 0.064).

Which structure is the most stable? The one labeled model 2.

Model 1:
Density functional theory data (PBE-GGA) for a relaxed AlV2I crystal.

The space group is I-42d (No. 122) and the conventional cell measures 4.001, 4.001 and 18.411 Å, with angles of 90.00, 90.00 and 90.00 degrees. Symmetry generates all atoms from Al at (0.000, 0.000, 0.000), V at (0.225, 0.250, 0.125) and I at (0.000, 0.000, 0.500).

Model 2:
Density functional theory data (PBE-GGA) for a relaxed AlV2I crystal.

The space group is Fm-3m (No. 225) and the conventional cell measures 6.425, 6.425 and 6.425 Å, with angles of 90.00, 90.00 and 90.00 degrees. Symmetry generates all atoms from Al at (0.000, 0.000, 0.000), V at (0.250, 0.250, 0.250) and I at (0.000, 0.000, 0.500).

Which structure is the most stable? The one labeled model 2.